Entry 1:
Zr2NiAg PBE optimized geometry; final energy = -6.601 eV per atom; E_form = -169 meV per atom; space-group type = P4mm (99)
1.0
3.338 0.000 0.000
0.000 3.338 0.000
0.000 0.000 6.690
Zr Ag Ni
2 1 1
direct
0.000 0.000 0.957
0.500 0.500 0.260
0.000 0.000 0.526
0.500 0.500 0.758

***

Entry 2:
NdDy12Th3 PBE optimized geometry; final energy = -5.108 eV per atom; E_form = 33 meV per atom; space-group type = P4/mmm (123)
1.0
5.030 0.000 0.000
0.000 5.030 0.000
0.000 0.000 20.089
Dy Th Nd
12 3 1
direct
0.000 0.500 0.376
0.500 0.000 0.872
0.500 0.500 0.500
0.000 0.500 0.128
0.500 0.000 0.128
0.500 0.500 0.749
0.500 0.000 0.624
0.000 0.500 0.624
0.500 0.500 0.000
0.000 0.500 0.872
0.500 0.500 0.251
0.500 0.000 0.376
0.000 0.000 0.251
0.000 0.000 0.500
0.000 0.000 0.749
0.000 0.000 0.000

***

Entry 3:
Sb2Mo PBE optimized geometry; final energy = -5.796 eV per atom; formation energy without anion corrections = 0.56 eV per atom; space-group type = P-3m1 (164)
1.0
5.032 0.000 0.000
-2.516 4.358 0.000
0.000 0.000 3.003
Sb Mo
2 1
direct
0.333 0.667 0.166
0.667 0.333 0.834
0.000 0.000 0.000

***

Entry 4:
MgNbH PBE optimized geometry; final energy = -4.998 eV per atom; E above lowest polymorph = 107 meV per atom; space-group type = P1 (1)
1.0
-1.153 4.137 4.169
-5.313 0.818 1.275
0.576 -1.440 2.526
Mg Nb H
2 2 2
direct
0.886 0.203 0.864
0.872 0.723 0.368
0.372 0.281 0.585
0.376 0.785 0.083
0.505 0.396 0.038
0.208 0.188 0.152

***

Values for DOS at the Fermi energy, states/eV per cell, ordered as above
2.4, 22.9, 3.4, 2.7